Compound: Sc2Ga2Pd
Source: Alexandria via LeMat-Bulk
Functional: meta-GGA SCAN
Structure: single point on PBEsol structure

Cell lengths 6.6297, 6.6297, 3.9920 Å; angles 90.00, 90.00, 90.00 degrees
With the nearest neighbours (Å) after each atom.
Element x y z (fractional)
Sc  0.1693  0.3307  0.0000  6 Ga 2.72-2.84
Sc  0.3307  0.8307  0.0000  6 Ga 2.72-2.84
Sc  0.6693  0.1693  0.0000  6 Ga 2.72-2.84
Sc  0.8307  0.6693  0.0000  6 Ga 2.72-2.84
Ga  0.1343  0.6343  0.5000  1 Ga 2.52, 2 Pd 2.58, 2 Sc 2.72
Ga  0.3657  0.1343  0.5000  1 Ga 2.52, 2 Pd 2.58, 2 Sc 2.72
Ga  0.6343  0.8657  0.5000  1 Ga 2.52, 2 Pd 2.58, 2 Sc 2.72
Ga  0.8657  0.3657  0.5000  1 Ga 2.52, 2 Pd 2.58, 2 Sc 2.72
Pd  0.0000  0.0000  0.5000  4 Ga 2.58
Pd  0.5000  0.5000  0.5000  4 Ga 2.58

Results
The calculation puts the total magnetization at 0.00 Bohr magnetons per cell. Its energy is -19.652 eV per atom. Its formation energy is -864 meV per atom.